{"formula": "CuIrCl2", "functional": "GGA-PBE", "state": "relaxed", "dft_energy_ev_per_atom": -3.092, "e_form_raw_ev_per_fu": 4.28, "e_above_lowest_polymorph_ev_per_atom": 1.037, "sg": "No. 216", "lattice": [[4.5694, 0.0000, 0.0000], [2.2847, 3.9572, 0.0000], [2.2847, 1.3191, 3.7309]], "species": ["Ir", "Cl", "Cl", "Cu"], "frac_coords": [[0.7500, 0.7500, 0.7500], [0.0000, 0.0000, 0.0000], [0.2500, 0.2500, 0.2500], [0.5000, 0.5000, 0.5000]]}

***

{"formula": "CuIrCl2", "functional": "GGA-PBE", "state": "relaxed", "dft_energy_ev_per_atom": -3.437, "e_form_raw_ev_per_fu": 2.90, "e_above_lowest_polymorph_ev_per_atom": 0.693, "sg": "No. 123", "lattice": [[-1.0021, 1.6146, 4.0887], [1.5128, -3.8107, 1.8756], [2.8055, 1.2159, 0.2075]], "species": ["Cl", "Cl", "Ir", "Cu"], "frac_coords": [[0.5000, 0.5000, 0.0000], [0.0000, 0.0000, 0.0000], [0.0000, 0.5000, 0.5000], [0.5000, 0.0000, 0.5000]]}

***

{"formula": "Cu2IrCl5", "functional": "GGA-PBE", "state": "relaxed", "dft_energy_ev_per_atom": -3.635, "e_form_raw_ev_per_fu": -2.80, "sg": "No. 1", "lattice": [[5.1525, -0.0361, 2.7671], [2.8406, 5.5766, 0.8266], [0.0437, 0.3574, 6.3794]], "species": ["Ir", "Cl", "Cl", "Cl", "Cl", "Cl", "Cu", "Cu"], "frac_coords": [[0.0393, 0.0004, 0.0068], [0.3495, 0.8215, 0.6181], [0.1607, 0.6282, 0.1768], [0.6057, 0.0332, 0.0245], [0.9650, 0.3812, 0.8382], [0.7935, 0.1885, 0.3862], [0.5443, 0.0189, 0.6954], [0.5420, 0.7051, 0.0309]]}

***

{"formula": "Cu2IrCl", "functional": "GGA-PBE", "state": "relaxed", "dft_energy_ev_per_atom": -4.509, "e_form_raw_ev_per_fu": 0.87, "e_above_lowest_polymorph_ev_per_atom": 0.003, "sg": "No. 166", "lattice": [[7.9138, 0.0041, 0.0024], [7.3689, 2.8858, 0.0024], [7.3689, 1.3934, 2.5271]], "species": ["Cu", "Cu", "Ir", "Cl"], "frac_coords": [[0.4977, 0.4977, 0.4977], [0.0023, 0.0023, 0.0023], [0.2500, 0.2500, 0.2500], [0.7500, 0.7500, 0.7500]]}